VBRh3 (PBE, optimized geometry); Fermi-level density of states = 10.55 states/eV per cell; formation enthalpy at 0 K = -0.243 eV per atom; crystal system = orthorhombic; SG = No. 74
1.0
-2.571 -0.726 4.946
2.394 -4.433 -2.492
4.804 2.913 -0.188
B Rh V
2 6 2
Direct
0.532 0.032 0.000 B
0.032 0.532 0.000 B
0.042 0.282 0.261 Rh
0.032 0.268 0.736 Rh
0.532 0.768 0.736 Rh
0.032 0.795 0.264 Rh
0.021 0.782 0.739 Rh
0.532 0.295 0.264 Rh
0.568 0.782 0.286 V
0.495 0.282 0.714 V